A plane-wave DFT calculation with PBE-GGA was carried out for a relaxed La3PrTm12 crystal.

Values from the calculation:
The value obtained for the energy of formation is 0.64 eV/f.u. The calculation puts the density of states at the Fermi level at 27.1 states/eV/cell. The total magnetic moment comes out at 0.0 μB per cell. Its crystal system is tetragonal.

a = 5.030 Å, b = 5.030 Å, c = 20.114 Å
α = 90.00°, β = 90.00°, γ = 90.00°
Atoms (fractional coordinates):
La: 0.000 0.000 0.000
La: 0.000 0.000 0.250
La: 0.000 0.000 0.750
Pr: 0.000 0.000 0.500
Tm: 0.000 0.500 0.125
Tm: 0.000 0.500 0.376
Tm: 0.000 0.500 0.624
Tm: 0.000 0.500 0.875
Tm: 0.500 0.000 0.125
Tm: 0.500 0.000 0.376
Tm: 0.500 0.000 0.624
Tm: 0.500 0.000 0.875
Tm: 0.500 0.500 0.000
Tm: 0.500 0.500 0.251
Tm: 0.500 0.500 0.500
Tm: 0.500 0.500 0.749

A plane-wave DFT calculation with PBE-GGA was carried out for a relaxed LaPr3Tm6 crystal.

Values from the calculation:
The value obtained for the energy of formation is 2.24 eV/f.u. The calculation puts the density of states at the Fermi level at 17.8 states/eV/cell. The total magnetic moment comes out at 0.0 μB per cell. Its crystal system is monoclinic.

a = 6.638 Å, b = 6.638 Å, c = 9.732 Å
α = 111.50°, β = 111.50°, γ = 59.33°
Atoms (fractional coordinates):
La: 0.000 0.000 0.000
Pr: 0.071 0.071 0.700
Pr: 0.500 0.500 0.500
Pr: 0.929 0.929 0.300
Tm: 0.068 0.561 0.687
Tm: 0.364 0.364 0.078
Tm: 0.439 0.932 0.313
Tm: 0.561 0.068 0.687
Tm: 0.636 0.636 0.922
Tm: 0.932 0.439 0.313

A plane-wave DFT calculation with PBE-GGA was carried out for a relaxed La3PrTm8 crystal.

Values from the calculation:
The value obtained for the energy of formation is 0.34 eV/f.u. The calculation puts the density of states at the Fermi level at 21.9 states/eV/cell. The total magnetic moment comes out at 0.0 μB per cell. Its crystal system is orthorhombic.

a = 8.492 Å, b = 8.492 Å, c = 8.492 Å
α = 99.89°, β = 95.84°, γ = 136.59°
Atoms (fractional coordinates):
La: 0.000 0.000 0.000
La: 0.407 0.657 0.750
La: 0.907 0.657 0.250
Pr: 0.501 0.001 0.500
Tm: 0.414 0.333 0.420
Tm: 0.414 0.995 0.081
Tm: 0.493 0.324 0.830
Tm: 0.493 0.663 0.170
Tm: 0.913 0.333 0.919
Tm: 0.913 0.995 0.580
Tm: 0.994 0.325 0.332
Tm: 0.994 0.662 0.668

A plane-wave DFT calculation with PBE-GGA was carried out for a relaxed La3Pr7Tm2 crystal.

Values from the calculation:
The value obtained for the energy of formation is 0.92 eV/f.u. The calculation puts the density of states at the Fermi level at 19.5 states/eV/cell. The total magnetic moment comes out at 0.0 μB per cell. Its crystal system is monoclinic.

a = 6.590 Å, b = 3.621 Å, c = 18.062 Å
α = 90.00°, β = 96.24°, γ = 90.00°
Atoms (fractional coordinates):
La: 0.000 0.000 0.000
La: 0.043 0.500 0.662
La: 0.957 0.500 0.338
Pr: 0.232 0.500 0.170
Pr: 0.245 0.000 0.503
Pr: 0.276 0.000 0.830
Pr: 0.500 0.500 0.000
Pr: 0.724 0.000 0.170
Pr: 0.755 0.000 0.497
Pr: 0.768 0.500 0.830
Tm: 0.450 0.000 0.330
Tm: 0.550 0.000 0.670

A plane-wave DFT calculation with PBE-GGA was carried out for a relaxed La3Pr3Tm crystal.

Values from the calculation:
The value obtained for the energy of formation is 1.04 eV/f.u. The calculation puts the density of states at the Fermi level at 24.8 states/eV/cell. The total magnetic moment comes out at 0.0 μB per cell. Its crystal system is monoclinic.

a = 8.341 Å, b = 8.341 Å, c = 7.391 Å
α = 90.03°, β = 90.03°, γ = 88.72°
Atoms (fractional coordinates):
La: 0.000 0.000 0.246
La: 0.000 0.000 0.754
La: 0.000 0.499 0.753
La: 0.000 0.501 0.247
La: 0.499 0.000 0.753
La: 0.501 0.000 0.247
Pr: 0.283 0.283 0.500
Pr: 0.283 0.717 0.500
Pr: 0.306 0.694 0.000
Pr: 0.694 0.306 0.000
Pr: 0.717 0.283 0.500
Pr: 0.717 0.717 0.500
Tm: 0.267 0.267 0.001
Tm: 0.733 0.733 0.999

A plane-wave DFT calculation with PBE-GGA was carried out for a relaxed La3Pr2Tm6 crystal.

Values from the calculation:
The value obtained for the energy of formation is 2.06 eV/f.u. The calculation puts the density of states at the Fermi level at 14.1 states/eV/cell. The total magnetic moment comes out at 0.0 μB per cell. Its crystal system is monoclinic.

a = 6.188 Å, b = 6.188 Å, c = 11.688 Å
α = 95.08°, β = 95.08°, γ = 120.08°
Atoms (fractional coordinates):
La: 0.000 0.000 0.000
La: 0.336 0.664 0.000
La: 0.664 0.336 0.000
Pr: 0.166 0.834 0.500
Pr: 0.834 0.166 0.500
Tm: 0.085 0.417 0.252
Tm: 0.251 0.251 0.749
Tm: 0.417 0.085 0.252
Tm: 0.583 0.915 0.748
Tm: 0.749 0.749 0.251
Tm: 0.915 0.583 0.748

A plane-wave DFT calculation with PBE-GGA was carried out for a relaxed La2Pr8Tm crystal.

Values from the calculation:
The value obtained for the energy of formation is 1.57 eV/f.u. The calculation puts the density of states at the Fermi level at 13.5 states/eV/cell. The total magnetic moment comes out at 0.0 μB per cell. Its crystal system is monoclinic.

a = 9.648 Å, b = 9.648 Å, c = 6.557 Å
α = 108.04°, β = 108.04°, γ = 42.87°
Atoms (fractional coordinates):
La: 0.211 0.211 0.113
La: 0.789 0.789 0.887
Pr: 0.058 0.058 0.254
Pr: 0.168 0.627 0.315
Pr: 0.294 0.294 0.685
Pr: 0.373 0.832 0.685
Pr: 0.627 0.168 0.315
Pr: 0.706 0.706 0.315
Pr: 0.832 0.373 0.685
Pr: 0.942 0.942 0.746
Tm: 0.500 0.500 0.000

A plane-wave DFT calculation with PBE-GGA was carried out for a relaxed LaPrTm2 crystal.

Values from the calculation:
The value obtained for the energy of formation is 0.32 eV/f.u. The calculation puts the density of states at the Fermi level at 7.0 states/eV/cell. The total magnetic moment comes out at 0.0 μB per cell. Its crystal system is cubic.

a = 5.752 Å, b = 5.752 Å, c = 5.752 Å
α = 60.00°, β = 60.00°, γ = 60.00°
Atoms (fractional coordinates):
La: 0.000 0.000 0.000
Pr: 0.500 0.500 0.500
Tm: 0.250 0.250 0.250
Tm: 0.750 0.750 0.750

- Which formula does entry 8 have?
  LaPrTm2

Copy entry 2 word for word.
A plane-wave DFT calculation with PBE-GGA was carried out for a relaxed LaPr3Tm6 crystal.

Values from the calculation:
The value obtained for the energy of formation is 2.24 eV/f.u. The calculation puts the density of states at the Fermi level at 17.8 states/eV/cell. The total magnetic moment comes out at 0.0 μB per cell. Its crystal system is monoclinic.

a = 6.638 Å, b = 6.638 Å, c = 9.732 Å
α = 111.50°, β = 111.50°, γ = 59.33°
Atoms (fractional coordinates):
La: 0.000 0.000 0.000
Pr: 0.071 0.071 0.700
Pr: 0.500 0.500 0.500
Pr: 0.929 0.929 0.300
Tm: 0.068 0.561 0.687
Tm: 0.364 0.364 0.078
Tm: 0.439 0.932 0.313
Tm: 0.561 0.068 0.687
Tm: 0.636 0.636 0.922
Tm: 0.932 0.439 0.313

- Which of these has the highest density of states at the Fermi level?
  La3PrTm12